Density functional theory data (GGA-PBE) for an optimized crystal structure of TlAg3.

The structure in POSCAR format:
```
TlAg3
1.0
-1.357 2.715 -0.668
-1.088 -1.750 2.327
6.047 4.561 6.258
Tl Ag
1 3
Cartesian
3.268 4.648 5.024 Tl
0.107 0.081 0.111 Ag
2.916 2.199 3.018 Ag
0.245 2.367 1.895 Ag
```

## Properties
- space-group type = P-6m2
- VASP energy (eV/atom) = -2.59
- size of the total moment (μB per formula unit) = 0.0



Density functional theory data (GGA-PBE) for an optimized crystal structure of La5Ce3H12.

The structure in POSCAR format:
```
La5Ce3H12
1.0
-10.743 -4.030 -3.214
6.502 -9.014 4.294
-1.243 8.356 8.403
Ce La H
12 20 48
Cartesian
-5.774 -5.358 0.250 Ce
-4.679 -9.242 1.459 Ce
0.071 -3.049 7.267 Ce
-2.339 0.999 2.884 Ce
-8.898 -2.564 -0.174 Ce
-0.275 -5.056 3.579 Ce
-5.208 0.368 5.904 Ce
3.415 -2.124 9.658 Ce
-3.144 -5.687 6.599 Ce
-5.555 -1.639 2.216 Ce
-0.805 4.554 8.024 Ce
0.291 0.670 9.233 Ce
0.785 -1.795 3.309 La
3.251 -4.507 2.147 La
0.000 0.000 0.000 La
-2.558 -2.720 0.919 La
-5.993 2.163 2.595 La
-2.120 -6.522 0.540 La
3.068 -4.131 5.970 La
-8.332 3.162 5.479 La
-4.459 -5.523 3.425 La
-4.148 3.629 5.634 La
-1.335 -8.317 3.849 La
-2.742 -2.344 4.742 La
-5.371 -2.015 -1.607 La
-0.621 4.178 4.201 La
-1.024 0.835 6.059 La
2.849 -7.850 4.004 La
2.630 -0.329 6.348 La
-8.551 -0.557 3.513 La
-2.925 -1.968 8.564 La
-6.268 -2.893 6.174 La
-6.943 -3.727 -1.052 H
-0.468 -3.064 4.890 H
-8.031 -4.589 0.758 H
-4.864 -3.106 0.457 H
-2.246 -3.431 6.810 H
-6.355 -7.652 0.839 H
0.781 -4.764 5.757 H
4.947 -7.352 5.017 H
-1.041 -5.189 7.624 H
-4.312 -6.832 1.439 H
-5.916 -4.050 2.248 H
-3.174 -11.057 1.869 H
2.370 -2.420 7.475 H
-1.065 -4.531 1.334 H
4.733 -5.717 6.595 H
-4.263 1.739 4.187 H
-0.086 0.218 2.378 H
-0.394 -6.958 2.133 H
-3.384 -9.487 3.510 H
0.982 -3.775 1.998 H
1.362 -3.306 9.319 H
-2.501 -4.710 4.512 H
-5.108 -6.500 5.499 H
-7.168 1.531 6.769 H
-2.982 0.022 4.971 H
-0.376 1.812 3.984 H
1.685 -6.220 2.714 H
-2.100 4.798 5.973 H
-6.845 -1.382 0.164 H
-6.465 -0.913 7.485 H
-5.089 2.270 7.350 H
-1.221 -6.428 5.297 H
-5.397 -4.906 7.106 H
-10.216 1.029 2.888 H
-7.853 -2.268 2.009 H
-2.309 6.369 7.614 H
-4.418 -0.157 8.150 H
-4.442 0.501 1.859 H
-1.171 2.144 8.044 H
0.433 -0.639 7.235 H
-10.430 2.663 4.466 H
-6.264 0.076 3.726 H
-0.619 -1.582 9.026 H
0.871 2.964 8.644 H
-3.238 -1.257 2.673 H
2.548 -0.099 8.725 H
-5.015 -1.624 4.594 H
1.459 -0.961 10.535 H
```

## Properties
- space-group type = Ia-3d
- VASP energy (eV/atom) = -4.53
- size of the total moment (μB per formula unit) = 3.8



Density functional theory data (GGA-PBE) for an optimized crystal structure of La7Y2Ho3.

The structure in POSCAR format:
```
La7Y2Ho3
1.0
3.579 0.000 0.000
0.000 6.482 0.903
0.000 2.319 18.198
La Y Ho
7 2 3
Cartesian
1.790 2.658 9.459 La
1.790 6.143 9.642 La
0.000 3.988 3.537 La
0.000 0.000 0.000 La
0.000 4.813 15.564 La
1.790 8.046 15.912 La
1.790 0.755 3.189 La
1.790 4.736 6.565 Y
1.790 4.064 12.536 Y
1.790 3.241 0.452 Ho
0.000 1.558 6.256 Ho
0.000 7.243 12.846 Ho
```

## Properties
- space-group type = P2/m
- VASP energy (eV/atom) = -5.03
- size of the total moment (μB per formula unit) = 0.0



Density functional theory data (GGA-PBE) for an optimized crystal structure of LiCeFeSn.

The structure in POSCAR format:
```
LiCeFeSn
1.0
4.701 0.000 0.000
2.350 4.071 0.000
2.350 1.357 3.838
Li Sn Ce Fe
1 1 1 1
Cartesian
7.051 4.071 2.879 Li
4.701 2.714 1.919 Sn
0.000 0.000 0.000 Ce
2.350 1.357 0.960 Fe
```

## Properties
- space-group type = F-43m
- VASP energy (eV/atom) = -5.33
- size of the total moment (μB per formula unit) = 1.0



Density functional theory data (GGA-PBE) for an optimized crystal structure of Hf5Sc12Al3.

The structure in POSCAR format:
```
Hf5Sc12Al3
1.0
14.459 0.000 0.000
-4.820 13.633 0.000
-4.820 -6.816 11.806
Al Hf Sc
12 20 48
Cartesian
8.435 4.260 1.476 Al
8.435 9.372 1.476 Al
-1.205 5.964 7.379 Al
1.205 -0.852 4.427 Al
10.845 0.000 2.952 Al
1.205 6.816 2.952 Al
3.615 0.000 8.855 Al
-6.025 6.816 8.855 Al
3.615 7.668 7.379 Al
6.025 0.852 4.427 Al
-3.615 -2.556 10.330 Al
-3.615 2.556 10.330 Al
-1.205 3.408 2.952 Hf
-2.410 6.816 0.000 Hf
0.000 0.000 0.000 Hf
3.615 2.556 1.476 Hf
4.820 -3.408 5.903 Hf
4.820 6.816 0.000 Hf
-3.615 7.668 4.427 Hf
6.025 -4.260 10.330 Hf
6.025 5.964 4.427 Hf
1.205 -3.408 8.855 Hf
3.615 10.224 2.952 Hf
2.410 3.408 5.903 Hf
7.230 0.000 0.000 Hf
-2.410 -3.408 5.903 Hf
-1.205 0.852 7.379 Hf
-1.205 11.076 1.476 Hf
-4.820 3.408 5.903 Hf
8.435 -0.852 7.379 Hf
1.205 4.260 10.330 Hf
6.025 3.408 8.855 Hf
9.476 1.506 0.857 Sc
0.163 4.903 5.028 Sc
10.399 2.965 3.206 Sc
6.471 2.115 1.732 Sc
1.739 5.460 7.744 Sc
9.892 6.764 1.841 Sc
-0.759 7.667 4.938 Sc
-4.061 11.518 1.732 Sc
0.671 8.173 7.744 Sc
6.978 6.868 1.841 Sc
7.393 3.419 4.171 Sc
7.393 12.127 0.857 Sc
-4.149 6.028 6.760 Sc
2.662 5.248 0.965 Sc
-4.983 10.213 4.171 Sc
2.573 -1.914 6.779 Sc
-0.671 0.568 2.697 Sc
2.662 8.436 0.876 Sc
6.471 10.667 3.206 Sc
-0.252 5.196 0.876 Sc
-3.080 7.384 9.109 Sc
3.169 5.965 4.938 Sc
6.559 7.604 6.760 Sc
5.072 -1.568 10.841 Sc
1.651 0.851 6.868 Sc
-1.739 -0.788 5.046 Sc
-0.252 8.384 0.965 Sc
-1.651 -3.851 8.600 Sc
7.900 -0.568 2.697 Sc
5.072 1.620 10.931 Sc
2.158 -1.620 10.931 Sc
2.247 8.730 5.028 Sc
5.490 6.248 9.109 Sc
9.803 -3.397 7.635 Sc
8.969 0.788 5.046 Sc
-2.573 -5.311 10.949 Sc
2.158 1.568 10.841 Sc
4.149 -1.356 4.062 Sc
-2.158 -0.052 9.965 Sc
-2.573 3.397 7.635 Sc
8.880 -4.702 10.074 Sc
5.579 -0.851 6.868 Sc
-1.651 4.702 10.074 Sc
-5.072 0.052 9.965 Sc
3.080 1.356 4.062 Sc
-5.579 3.851 8.600 Sc
4.657 1.914 6.779 Sc
-4.657 5.311 10.949 Sc
```

## Properties
- space-group type = Ia-3d
- VASP energy (eV/atom) = -5.77
- size of the total moment (μB per formula unit) = 3.6



Density functional theory data (GGA-PBE) for an optimized crystal structure of PmHoZnAu.

The structure in POSCAR format:
```
PmHoZnAu
1.0
5.131 0.000 0.000
2.566 4.444 0.000
2.566 1.481 4.190
Zn Au Ho Pm
1 1 1 1
Cartesian
0.000 0.000 0.000 Zn
5.131 2.962 2.095 Au
7.697 4.444 3.142 Ho
2.566 1.481 1.047 Pm
```

## Properties
- space-group type = F-43m
- VASP energy (eV/atom) = -4.04
- size of the total moment (μB per formula unit) = 0.0



Density functional theory data (GGA-PBE) for an optimized crystal structure of PmSiIrN.

The structure in POSCAR format:
```
PmSiIrN
1.0
-0.081 -3.546 1.839
-0.589 -1.809 -3.513
8.020 -0.695 -0.986
Pm Si Ir N
2 2 2 2
Cartesian
6.430 -1.487 -2.583 Pm
1.256 -1.885 0.760 Pm
2.445 -1.142 -2.093 Si
5.240 -2.231 0.271 Si
4.010 -0.348 -0.493 Ir
3.675 -3.025 -1.330 Ir
6.960 -2.380 0.059 N
0.726 -0.993 -1.882 N
```

## Properties
- space-group type = P4/nmm
- size of the total moment (μB per formula unit) = 0.0
- formation energy (no corrections) (kcal/mol of atoms) = -27.770